[1]
DFT (PBE) results for NaRh3Cl after structural relaxation.

Computed properties:
excess energy over the best structure of this formula in the dataset: 0 meV/atom
formation energy without anion corrections: 0.591 eV per atom

Structure (CIF):
```
data_NaRh3Cl
_symmetry_space_group_name_H-M 'P m -3 m'
_symmetry_Int_Tables_number 221
_symmetry_space_group_name_Hall '-P 4 2 3'
_cell_length_a 4.467
_cell_length_b 4.467
_cell_length_c 4.467
_cell_angle_alpha 90.00
_cell_angle_beta 90.00
_cell_angle_gamma 90.00
loop_
_atom_site_label
_atom_site_fract_x
_atom_site_fract_y
_atom_site_fract_z
Na1 0.000 0.000 0.000
Rh1 0.000 0.500 0.500
Cl1 0.500 0.500 0.500
```

[2]
DFT (PBE) results for La2PuSc after structural relaxation.

Computed properties:
excess energy over the best structure of this formula in the dataset: 66 meV/atom
energy of formation: 0.19 eV per atom

Structure (CIF):
```
data_La2PuSc
_symmetry_space_group_name_H-M 'F m -3 m'
_symmetry_Int_Tables_number 225
_symmetry_space_group_name_Hall '-F 4 2 3'
_cell_length_a 7.928
_cell_length_b 7.928
_cell_length_c 7.928
_cell_angle_alpha 90.00
_cell_angle_beta 90.00
_cell_angle_gamma 90.00
loop_
_atom_site_label
_atom_site_fract_x
_atom_site_fract_y
_atom_site_fract_z
La1 0.250 0.250 0.250
Pu1 0.000 0.000 0.000
Sc1 0.000 0.000 0.500
```

[3]
DFT (PBE) results for Sc2TlTeO8 after structural relaxation.

Computed properties:
formation energy without anion corrections: -1.867 eV per atom

Structure (CIF):
```
data_Sc2TlTeO8
_symmetry_space_group_name_H-M 'C m m m'
_symmetry_Int_Tables_number 65
_symmetry_space_group_name_Hall '-C 2 2'
_cell_length_a 6.735
_cell_length_b 6.923
_cell_length_c 6.658
_cell_angle_alpha 90.00
_cell_angle_beta 90.00
_cell_angle_gamma 90.00
loop_
_atom_site_label
_atom_site_fract_x
_atom_site_fract_y
_atom_site_fract_z
Sc1 0.000 0.000 0.250
Tl1 0.000 0.500 0.000
Te1 0.000 0.500 0.500
O1 0.000 0.306 0.288
O2 0.184 0.000 0.000
O3 0.210 0.000 0.500
```

Asked for DOS at the Fermi energy across the records above, the calculation gives 1.72 3.44 0.60 states/eV per atom in order.
Asked for V across the records above, the calculation gives 89 498 310 Å³ per cell in order.